Entry 1:
A geometry-optimized PmNdCdCu structure, computed with GGA-PBE.

POSCAR file:
```
PmNdCdCu
1.0
-5.2209 -0.7275 -0.1161
-2.6067 -1.1096 4.4469
-3.2107 3.5932 2.1404
Cd Nd Cu Pm
1 1 1 1
Cartesian
-8.2788 1.3170 4.8534 Cd
-5.5192 0.8780 3.2356 Nd
-2.7596 0.4390 1.6178 Cu
0.0000 0.0000 0.0000 Pm
```

Output
The value obtained for the energy is -3.82 eV per atom.

Entry 2:
A geometry-optimized Nd2CdCu2Pt5 structure, computed with GGA-PBE.

POSCAR file:
```
Nd2CdCu2Pt5
1.0
3.9982 0.0000 0.0000
0.0000 9.5386 0.0000
0.0000 0.0000 9.5386
Nd Cd Cu Pt
4 2 4 10
Cartesian
0.0000 6.4666 1.6974 Nd
0.0000 3.0719 7.8412 Nd
0.0000 1.6974 3.0719 Nd
0.0000 7.8412 6.4666 Nd
0.0000 0.0000 0.0000 Cd
0.0000 4.7693 4.7693 Cd
0.0000 1.1327 5.9020 Cu
0.0000 8.4059 3.6366 Cu
0.0000 5.9020 8.4059 Cu
0.0000 3.6366 1.1327 Cu
1.9991 2.0071 0.6537 Pt
1.9991 7.5315 8.8849 Pt
1.9991 0.6537 7.5315 Pt
1.9991 6.7764 4.1156 Pt
1.9991 8.8849 2.0071 Pt
1.9991 2.7622 5.4230 Pt
1.9991 5.4230 6.7764 Pt
1.9991 4.1156 2.7622 Pt
1.9991 4.7693 0.0000 Pt
1.9991 0.0000 4.7693 Pt
```

Output
The value obtained for the energy is -5.60 eV per atom.

Entry 3:
A geometry-optimized NdCdCuRh structure, computed with GGA-PBE.

POSCAR file:
```
NdCdCuRh
1.0
4.8264 0.0000 0.0000
2.4132 4.1798 0.0000
2.4132 1.3933 3.9408
Rh Nd Cu Cd
1 1 1 1
Cartesian
2.4132 1.3933 0.9852 Rh
0.0000 0.0000 0.0000 Nd
7.2396 4.1798 2.9556 Cu
4.8264 2.7865 1.9704 Cd
```

Output
The value obtained for the energy is -4.55 eV per atom.

Entry 4:
A geometry-optimized NdScCdCu structure, computed with GGA-PBE.

POSCAR file:
```
NdScCdCu
1.0
5.0770 0.0000 0.0000
2.5385 4.3968 0.0000
2.5385 1.4656 4.1453
Sc Nd Cu Cd
1 1 1 1
Cartesian
0.0000 0.0000 0.0000 Sc
5.0770 2.9312 2.0727 Nd
2.5385 1.4656 1.0363 Cu
7.6155 4.3968 3.1090 Cd
```

Output
The value obtained for the energy is -4.19 eV per atom.

Entry 5:
A geometry-optimized NdSmCdCu structure, computed with GGA-PBE.

POSCAR file:
```
NdSmCdCu
1.0
5.2590 0.0000 0.0000
2.6295 4.5545 0.0000
2.6295 1.5182 4.2940
Nd Cu Sm Cd
1 1 1 1
Cartesian
5.2590 3.0363 2.1470 Nd
7.8886 4.5545 3.2205 Cu
0.0000 0.0000 0.0000 Sm
2.6295 1.5182 1.0735 Cd
```

Output
The value obtained for the energy is -3.81 eV per atom.

Entry 6:
A geometry-optimized NdCdCuSn structure, computed with GGA-PBE.

POSCAR file:
```
NdCdCuSn
1.0
5.0490 0.0000 0.0000
2.5245 4.3726 0.0000
2.5245 1.4575 4.1225
Nd Sn Cu Cd
1 1 1 1
Cartesian
5.0490 2.9151 2.0613 Nd
0.0000 0.0000 0.0000 Sn
2.5245 1.4575 1.0306 Cu
7.5736 4.3726 3.0919 Cd
```

Output
The value obtained for the energy is -3.67 eV per atom.

Entry 7:
A geometry-optimized SrNdCdCu structure, computed with GGA-PBE.

POSCAR file:
```
SrNdCdCu
1.0
5.4013 0.0000 0.0000
2.7006 4.6776 0.0000
2.7006 1.5592 4.4101
Sr Nd Cu Cd
1 1 1 1
Cartesian
0.0000 0.0000 0.0000 Sr
5.4013 3.1184 2.2051 Nd
2.7006 1.5592 1.1025 Cu
8.1019 4.6776 3.3076 Cd
```

Output
The value obtained for the energy is -2.98 eV per atom.

Entry 8:
A geometry-optimized TbNdCdCu structure, computed with GGA-PBE.

POSCAR file:
```
TbNdCdCu
1.0
-4.4468 -2.2760 1.5044
-1.7468 -4.2261 -2.5112
0.1173 -4.6603 2.3420
Nd Tb Cu Cd
1 1 1 1
Cartesian
0.0000 0.0000 0.0000 Nd
-3.0381 -5.5812 0.6676 Tb
-1.5191 -2.7906 0.3338 Cu
-4.5572 -8.3718 1.0014 Cd
```

Output
The value obtained for the energy is -3.80 eV per atom.

Entry 9:
A geometry-optimized NdThCdCu structure, computed with GGA-PBE.

POSCAR file:
```
NdThCdCu
1.0
5.2744 0.0000 0.0000
2.6372 4.5678 0.0000
2.6372 1.5226 4.3066
Nd Cu Th Cd
1 1 1 1
Cartesian
0.0000 0.0000 0.0000 Nd
2.6372 1.5226 1.0766 Cu
5.2744 3.0452 2.1533 Th
7.9117 4.5678 3.2299 Cd
```

Output
The value obtained for the energy is -4.36 eV per atom.

Entry 10:
A geometry-optimized NdTlCdCu structure, computed with GGA-PBE.

POSCAR file:
```
NdTlCdCu
1.0
5.0849 0.0000 0.0000
2.5425 4.4037 0.0000
2.5425 1.4679 4.1518
Tl Nd Cu Cd
1 1 1 1
Cartesian
0.0000 0.0000 0.0000 Tl
2.5425 1.4679 1.0380 Nd
5.0849 2.9358 2.0759 Cu
7.6274 4.4037 3.1139 Cd
```

Output
The value obtained for the energy is -3.19 eV per atom.

Entry 11:
A geometry-optimized NdTmCdCu structure, computed with GGA-PBE.

POSCAR file:
```
NdTmCdCu
1.0
-1.4058 -3.2036 -3.8122
-1.0635 -4.9548 1.0446
-4.8747 -1.7131 -0.2741
Tm Nd Cu Cd
1 1 1 1
Cartesian
0.0000 0.0000 0.0000 Tm
-3.6720 -4.9357 -1.5209 Nd
-1.8360 -2.4679 -0.7604 Cu
-5.5080 -7.4036 -2.2813 Cd
```

Output
The value obtained for the energy is -3.77 eV per atom.

Entry 12:
A geometry-optimized Nd2Zn3CdCu12 structure, computed with GGA-PBE.

POSCAR file:
```
Nd2Zn3CdCu12
1.0
7.2740 -0.6407 -0.4545
3.0352 6.6415 -0.4545
3.0352 1.7667 6.4183
Nd Zn Cd Cu
2 3 1 12
Cartesian
7.9920 4.6520 3.2996 Nd
5.3524 3.1155 2.2098 Nd
3.6370 -0.3204 -0.2272 Zn
1.5176 3.3207 -0.2272 Zn
1.5176 0.8834 3.2092 Zn
0.0000 0.0000 0.0000 Cd
6.9286 4.0330 6.0575 Cu
9.8061 5.7080 1.5113 Cu
7.7239 6.8906 4.8874 Cu
9.5522 2.5430 1.8037 Cu
9.8061 3.3133 4.8874 Cu
6.9286 7.0502 1.8037 Cu
6.4157 3.7345 -0.5481 Cu
3.5382 2.0595 3.9981 Cu
5.6204 0.8769 0.6220 Cu
3.7921 5.2245 3.7057 Cu
3.5382 4.4542 0.6220 Cu
6.4157 0.7173 3.7057 Cu
```

Output
The value obtained for the energy is -3.23 eV per atom.

Entry 13:
A geometry-optimized NdZnCdCu structure, computed with GGA-PBE.

POSCAR file:
```
NdZnCdCu
1.0
4.8545 0.0000 0.0000
2.4273 4.2042 0.0000
2.4273 1.4014 3.9637
Zn Nd Cu Cd
1 1 1 1
Cartesian
4.8545 2.8028 1.9819 Zn
2.4273 1.4014 0.9909 Nd
0.0000 0.0000 0.0000 Cu
7.2818 4.2042 2.9728 Cd
```

Output
The value obtained for the energy is -3.02 eV per atom.

Entry 14:
A geometry-optimized Nd2Zn2CdCu5 structure, computed with GGA-PBE.

POSCAR file:
```
Nd2Zn2CdCu5
1.0
3.7187 0.0000 0.0000
0.0000 9.8943 0.0000
0.0000 0.0000 9.8943
Nd Zn Cd Cu
4 4 2 10
Cartesian
0.0000 6.7611 1.8139 Nd
0.0000 3.1333 8.0805 Nd
0.0000 1.8139 3.1333 Nd
0.0000 8.0805 6.7611 Nd
0.0000 1.1219 6.0691 Zn
0.0000 8.7724 3.8253 Zn
0.0000 6.0691 8.7724 Zn
0.0000 3.8253 1.1219 Zn
0.0000 0.0000 0.0000 Cd
0.0000 4.9472 4.9472 Cd
1.8593 2.1065 0.4935 Cu
1.8593 7.7878 9.4009 Cu
1.8593 0.4935 7.7878 Cu
1.8593 7.0537 4.4537 Cu
1.8593 9.4009 2.1065 Cu
1.8593 2.8406 5.4407 Cu
1.8593 5.4407 7.0537 Cu
1.8593 4.4537 2.8406 Cu
1.8593 4.9472 0.0000 Cu
1.8593 0.0000 4.9472 Cu
```

Output
The value obtained for the energy is -3.41 eV per atom.

Entry 15:
A geometry-optimized Nd2Zn12CdCu3 structure, computed with GGA-PBE.

POSCAR file:
```
Nd2Zn12CdCu3
1.0
-7.0334 -0.9197 -4.9424
-2.6218 -7.4128 -3.5941
-7.1163 -4.3707 2.2356
Nd Zn Cd Cu
2 12 1 3
Cartesian
-10.1686 -7.7021 -3.8203 Nd
-6.6028 -5.0012 -2.4806 Nd
-9.5206 -6.6953 -1.0924 Zn
-11.5969 -9.1484 -6.1120 Zn
-11.6266 -10.3821 -3.5457 Zn
-9.4786 -4.9488 -4.7251 Zn
-13.2037 -8.0607 -4.0278 Zn
-7.2460 -8.2349 -4.0427 Zn
-7.2509 -6.0080 -5.2085 Zn
-5.1745 -3.5549 -0.1889 Zn
-5.1449 -2.3211 -2.7552 Zn
-7.2928 -7.7544 -1.5758 Zn
-3.5677 -4.6425 -2.2731 Zn
-9.5254 -4.4684 -2.2582 Zn
0.0000 0.0000 0.0000 Cd
-3.5167 -0.4599 -2.4712 Cu
-1.3109 -3.7064 -1.7970 Cu
-3.5581 -2.1853 1.1178 Cu
```

Output
The value obtained for the energy is -1.89 eV per atom.

Entry 16:
A geometry-optimized CdCu2Ni structure, computed with GGA-PBE.

POSCAR file:
```
CdCu2Ni
1.0
-1.5722 -2.1132 3.8335
-2.4392 -3.6049 1.6396
3.2582 -3.1066 0.8247
Cd Cu Ni
1 2 1
Cartesian
-0.1883 -2.2062 1.5744 Cd
3.1311 -3.0930 0.8657 Cu
-0.2495 -4.4259 3.1079 Cu
-0.5649 -6.6185 4.7233 Ni
```

Output
The value obtained for the energy is -3.64 eV per atom.

Entry 17:
A geometry-optimized CdCu2Ni structure, computed with GGA-PBE.

POSCAR file:
```
CdCu2Ni
1.0
4.9922 -0.0019 0.0014
2.2436 4.4596 -0.0014
-3.1653 -2.9636 2.4739
Cd Cu Ni
1 2 1
Cartesian
1.3481 1.8624 1.2363 Cd
7.1279 4.3912 0.0000 Cu
3.7258 2.2953 0.0000 Cu
2.7224 -0.3683 1.2376 Ni
```

Output
The value obtained for the energy is -3.62 eV per atom.

Entry 18:
A geometry-optimized Cd3CuNi structure, computed with GGA-PBE.

POSCAR file:
```
Cd3CuNi
1.0
4.8972 0.0000 0.0000
0.0000 4.8972 0.0000
0.0000 0.0000 4.8972
Ni Cu Cd
1 1 3
Cartesian
0.0000 0.0000 0.0000 Ni
2.4486 2.4486 2.4486 Cu
0.0000 2.4486 0.0000 Cd
0.0000 0.0000 2.4486 Cd
2.4486 0.0000 0.0000 Cd
```

Output
The value obtained for the energy is -2.02 eV per atom. Its energy above the most stable polymorph in this dataset is 0.00 kJ per mole of atoms.

Entry 19:
A geometry-optimized CdCu2Ni structure, computed with GGA-PBE.

POSCAR file:
```
CdCu2Ni
1.0
-0.7144 3.7278 1.9552
-0.0310 0.2023 4.2647
3.1732 1.9691 2.0669
Cd Cu Ni
1 2 1
Cartesian
1.2143 2.9497 4.1434 Cd
3.1723 1.9689 2.0669 Cu
0.6080 1.4750 2.0717 Cu
1.8202 4.4243 6.2152 Ni
```

Output
The value obtained for the energy is -3.62 eV per atom.

Entry 20:
A geometry-optimized CdCuNi2 structure, computed with GGA-PBE.

POSCAR file:
```
CdCuNi2
1.0
-4.8073 -1.7656 6.8760
-2.5777 -3.1744 7.5357
-2.7291 -0.5217 8.1109
Cd Cu Ni
1 1 2
Cartesian
-2.5285 -1.3654 5.6307 Cd
-7.5856 -4.0963 16.8920 Cu
-0.0606 -0.0327 0.1349 Ni
-4.9965 -2.6981 11.1264 Ni
```

Output
The value obtained for the energy is -3.95 eV per atom.